# 1
A relaxed Pm12Sm6Dy crystal. Source: Alexandria, functional PBE.

The structure belongs to space group R-3 (No. 148, hexagonal axes); the cell edges are 12.2069, 12.2069 and 15.2957 Å and the angles 90.00°, 90.00° and 120.00°. The asymmetric unit holds Pm at (0.0043, 0.8308, 0.1906), Pm at (0.0468, 0.8513, 0.4165), Sm at (0.0135, 0.4237, 0.6852) and Dy at (0.0000, 0.0000, 0.0000).

As for the energy above the most stable polymorph in this dataset: 0.000 eV per atom.

# 2
A relaxed PmSm2Dy3 crystal. Source: Alexandria, functional PBE.

The structure belongs to space group Cmc2_1 (No. 36); the cell edges are 9.511, 13.217 and 6.403 Å and the angles 90.00°, 90.00° and 90.00°. The asymmetric unit holds Pm at (0.000, 0.176, 0.000), Sm at (0.182, 0.441, 0.775), Dy at (0.000, 0.082, 0.526) and Dy at (0.183, 0.305, 0.319).

As for the energy above the most stable polymorph in this dataset: 0.096 eV per atom.

# 3
A relaxed Pm2Sm2Dy5 crystal. Source: Alexandria, functional PBE.

The structure belongs to space group C2/m (No. 12); the cell edges are 21.547, 3.503 and 8.306 Å and the angles 90.00°, 99.75° and 90.00°. The asymmetric unit holds Pm at (0.185, 0.000, 0.147), Sm at (0.046, 0.500, 0.355), Dy at (0.000, 0.000, 0.000), Dy at (0.101, 0.000, 0.741) and Dy at (0.190, 0.500, 0.524).

As for the energy above the most stable polymorph in this dataset: 0.037 eV per atom.

# 4
A relaxed Pm5SmDy2 crystal. Source: Alexandria, functional PBE.

The structure belongs to space group C2/c (No. 15); the cell edges are 16.765, 10.029 and 6.564 Å and the angles 90.00°, 99.36° and 90.00°. The asymmetric unit holds Pm at (0.000, 0.055, 0.250), Pm at (0.096, 0.405, 0.142), Pm at (0.201, 0.088, 0.019), Sm at (0.250, 0.250, 0.500) and Dy at (0.078, 0.255, 0.627).

As for the energy above the most stable polymorph in this dataset: 0.140 eV per atom.

# 5
A relaxed PmSm8Dy3 crystal. Source: Alexandria, functional PBE.

The structure belongs to space group I-42m (No. 121); the cell edges are 8.734, 8.734 and 11.495 Å and the angles 90.00°, 90.00° and 90.00°. The asymmetric unit holds Pm at (0.000, 0.000, 0.000), Sm at (0.125, 0.125, 0.748), Sm at (0.248, 0.248, 0.495), Dy at (0.000, 0.000, 0.500) and Dy at (0.000, 0.500, 0.250).

The total energy comes out at -98.17 eV/cell.

# 6
A relaxed Pm4SmDy5 crystal. Source: Alexandria, functional PBE.

The structure belongs to space group C2/m (No. 12); the cell edges are 17.263, 3.549 and 11.186 Å and the angles 90.00°, 90.10° and 90.00°. The asymmetric unit holds Pm at (0.030, 0.000, 0.249), Pm at (0.155, 0.500, 0.750), Sm at (0.000, 0.500, 0.500), Dy at (0.000, 0.500, 0.000), Dy at (0.173, 0.000, 0.050) and Dy at (0.174, 0.000, 0.447).

As for the energy above the most stable polymorph in this dataset: 0.000 eV per atom.

# 7
A relaxed PmSm2Dy crystal. Source: Alexandria, functional PBE.

The structure belongs to space group Fm-3m (No. 225); the cell edges are 8.132, 8.132 and 8.132 Å and the angles 90.00°, 90.00° and 90.00°. The asymmetric unit holds Pm at (0.000, 0.000, 0.000), Sm at (0.250, 0.250, 0.250) and Dy at (0.000, 0.000, 0.500).

As for the energy above the most stable polymorph in this dataset: 0.129 eV per atom.

# 8
A relaxed Pm2Sm2Dy7 crystal. Source: Alexandria, functional PBE.

The structure belongs to space group C2/m (No. 12); the cell edges are 11.262, 11.610 and 6.083 Å and the angles 90.00°, 113.52° and 90.00°. The asymmetric unit holds Pm at (0.000, 0.213, 0.000), Sm at (0.094, 0.500, 0.309), Dy at (0.000, 0.000, 0.500), Dy at (0.173, 0.237, 0.675) and Dy at (0.233, 0.000, 0.081).

The total energy comes out at -98.96 eV/cell.

# 9
A relaxed Pm6SmDy12 crystal. Source: Alexandria, functional PBE.

The structure belongs to space group R-3m (No. 166, hexagonal axes); the cell edges are 13.2631, 13.2631 and 12.6439 Å and the angles 90.00°, 90.00° and 120.00°. The asymmetric unit holds Pm at (0.0386, 0.5193, 0.1171), Sm at (0.0000, 0.0000, 0.5000), Dy at (0.0000, 0.2575, 0.0000) and Dy at (0.0912, 0.1825, 0.7646).

As for the energy above the most stable polymorph in this dataset: 0.094 eV per atom.

# 10
A relaxed Pm5Sm3Dy4 crystal. Source: Alexandria, functional PBE.

The structure belongs to space group C2/m (No. 12); the cell edges are 9.793, 5.850 and 15.059 Å and the angles 90.00°, 108.91° and 90.00°. The asymmetric unit holds Pm at (0.000, 0.000, 0.000), Pm at (0.045, 0.500, 0.249), Pm at (0.168, 0.500, 0.500), Sm at (0.000, 0.500, 0.000), Sm at (0.205, 0.000, 0.249), Dy at (0.061, 0.000, 0.623) and Dy at (0.177, 0.000, 0.855).

As for the energy above the most stable polymorph in this dataset: 0.204 eV per atom.

# 11
A relaxed PmSm2Dy crystal. Source: Alexandria, functional PBE.

The structure belongs to space group R3m (No. 160, hexagonal axes); the cell edges are 3.6271, 3.6271 and 35.1716 Å and the angles 90.00°, 90.00° and 120.00°. The asymmetric unit holds Pm at (0.0000, 0.0000, 0.0000), Sm at (0.0000, 0.0000, 0.5822), Sm at (0.0000, 0.0000, 0.7510) and Dy at (0.0000, 0.0000, 0.1668).

As for the energy above the most stable polymorph in this dataset: 0.000 eV per atom.

# 12
A relaxed Pm3Sm2Dy8 crystal. Source: Alexandria, functional PBE.

The structure belongs to space group C2/m (No. 12); the cell edges are 20.859, 5.069 and 7.998 Å and the angles 90.00°, 94.37° and 90.00°. The asymmetric unit holds Pm at (0.000, 0.000, 0.000), Pm at (0.039, 0.500, 0.307), Sm at (0.231, 0.000, 0.846), Dy at (0.077, 0.000, 0.614), Dy at (0.116, 0.500, 0.921), Dy at (0.155, 0.000, 0.232) and Dy at (0.193, 0.500, 0.539).

As for the energy above the most stable polymorph in this dataset: 0.000 eV per atom.

Number 1: calculated density 7.1 g cm⁻³. Number 2: calculated density 7.7 g cm⁻³. Number 3: calculated density 7.5 g cm⁻³. Number 4: calculated density 7.3 g cm⁻³. Number 5: calculated density 7.0 g cm⁻³. Number 6: calculated density 7.5 g cm⁻³. Number 7: calculated density 7.5 g cm⁻³. Number 8: calculated density 7.9 g cm⁻³. Number 9: calculated density 7.7 g cm⁻³. Number 10: calculated density 7.4 g cm⁻³. Number 11: calculated density 7.6 g cm⁻³. Number 12: calculated density 8.0 g cm⁻³.